{"formula": "Ho2TaGa3Ir4", "functional": "PBE", "state": "relaxed", "dft_energy_ev_per_atom": -7.240, "space_group": "No. 115", "delta_e_f_ev_per_fu": -6.869, "volume_a3_per_atom": 18.7, "lattice_angstrom": [[4.1803, 0.0000, 0.0000], [0.0000, 4.1803, 0.0000], [0.0000, 0.0000, 10.7077]], "species": ["Ho", "Ho", "Ta", "Ga", "Ga", "Ga", "Ir", "Ir", "Ir", "Ir"], "fractional_positions": [[0.0000, 0.5000, 0.2234], [0.5000, 0.0000, 0.7766], [0.0000, 0.0000, 0.5000], [0.0000, 0.5000, 0.8726], [0.5000, 0.0000, 0.1274], [0.5000, 0.5000, 0.5000], [0.0000, 0.0000, 0.0000], [0.0000, 0.5000, 0.6404], [0.5000, 0.0000, 0.3596], [0.5000, 0.5000, 0.0000]]}


{"formula": "HoThGaIr", "functional": "PBE", "state": "relaxed", "dft_energy_ev_per_atom": -6.560, "space_group": "No. 216", "delta_e_f_ev_per_fu": -2.354, "volume_a3_per_atom": 22.9, "lattice_angstrom": [[0.0000, 3.5771, 3.5771], [3.5771, 0.0000, 3.5771], [3.5771, 3.5771, 0.0000]], "species": ["Ho", "Th", "Ga", "Ir"], "fractional_positions": [[0.0000, 0.0000, 0.0000], [0.5000, 0.5000, 0.5000], [0.7500, 0.7500, 0.7500], [0.2500, 0.2500, 0.2500]]}


{"formula": "HoTh2Ga3Ir4", "functional": "PBE", "state": "relaxed", "dft_energy_ev_per_atom": -7.153, "space_group": "No. 115", "delta_e_f_ev_per_fu": -7.593, "volume_a3_per_atom": 20.1, "lattice_angstrom": [[4.2167, 0.0000, 0.0000], [0.0000, 4.2167, 0.0000], [0.0000, 0.0000, 11.3105]], "species": ["Ho", "Th", "Th", "Ga", "Ga", "Ga", "Ir", "Ir", "Ir", "Ir"], "fractional_positions": [[0.0000, 0.0000, 0.0000], [0.0000, 0.5000, 0.7231], [0.5000, 0.0000, 0.2769], [0.0000, 0.5000, 0.3810], [0.5000, 0.0000, 0.6190], [0.5000, 0.5000, 0.0000], [0.0000, 0.0000, 0.5000], [0.0000, 0.5000, 0.1607], [0.5000, 0.0000, 0.8393], [0.5000, 0.5000, 0.5000]]}


{"formula": "YHoGaIr", "functional": "PBE", "state": "relaxed", "de_polymorph_ev_per_atom": 0.0659, "dft_energy_ev_per_atom": -6.421, "space_group": "No. 216", "delta_e_f_ev_per_fu": -2.756, "volume_a3_per_atom": 21.4, "lattice_angstrom": [[0.0000, 3.5001, 3.5001], [3.5001, 0.0000, 3.5001], [3.5001, 3.5001, 0.0000]], "species": ["Y", "Ho", "Ga", "Ir"], "fractional_positions": [[0.0000, 0.0000, 0.0000], [0.5000, 0.5000, 0.5000], [0.2500, 0.2500, 0.2500], [0.7500, 0.7500, 0.7500]]}


{"formula": "YHoGaIr", "functional": "PBE", "state": "relaxed", "de_polymorph_ev_per_atom": 0.0000, "dft_energy_ev_per_atom": -6.487, "space_group": "No. 38", "delta_e_f_ev_per_fu": -3.020, "volume_a3_per_atom": 22.5, "lattice_angstrom": [[4.2392, 0.0000, 0.0000], [0.0000, 1.9794, 5.3662], [0.0000, -1.9794, 5.3662]], "species": ["Y", "Ho", "Ga", "Ir"], "fractional_positions": [[0.0000, 0.0000, 0.0000], [0.5000, 0.7166, 0.7166], [0.5000, 0.4256, 0.4256], [0.0000, 0.2802, 0.2802]]}


{"formula": "Ho2ZnGa4Ir3", "functional": "PBE", "state": "relaxed", "dft_energy_ev_per_atom": -5.545, "space_group": "No. 115", "delta_e_f_ev_per_fu": -6.330, "volume_a3_per_atom": 18.1, "lattice_angstrom": [[3.9965, 0.0000, 0.0000], [0.0000, 3.9965, 0.0000], [0.0000, 0.0000, 11.3541]], "species": ["Ho", "Ho", "Zn", "Ga", "Ga", "Ga", "Ga", "Ir", "Ir", "Ir"], "fractional_positions": [[0.0000, 0.5000, 0.2426], [0.5000, 0.0000, 0.7574], [0.0000, 0.0000, 0.5000], [0.0000, 0.0000, 0.0000], [0.0000, 0.5000, 0.6376], [0.5000, 0.0000, 0.3624], [0.5000, 0.5000, 0.0000], [0.0000, 0.5000, 0.8581], [0.5000, 0.0000, 0.1419], [0.5000, 0.5000, 0.5000]]}


{"formula": "Ho2ZnGa2Ir5", "functional": "PBE", "state": "relaxed", "dft_energy_ev_per_atom": -6.641, "space_group": "No. 127", "delta_e_f_ev_per_fu": -5.619, "volume_a3_per_atom": 16.8, "lattice_angstrom": [[9.6743, 0.0000, 0.0000], [0.0000, 9.6743, 0.0000], [0.0000, 0.0000, 3.5975]], "species": ["Ho", "Ho", "Ho", "Ho", "Zn", "Zn", "Ga", "Ga", "Ga", "Ga", "Ir", "Ir", "Ir", "Ir", "Ir", "Ir", "Ir", "Ir", "Ir", "Ir"], "fractional_positions": [[0.1736, 0.3264, 0.0000], [0.3264, 0.8264, 0.0000], [0.6736, 0.1736, 0.0000], [0.8264, 0.6736, 0.0000], [0.0000, 0.0000, 0.0000], [0.5000, 0.5000, 0.0000], [0.1267, 0.6267, 0.0000], [0.3733, 0.1267, 0.0000], [0.6267, 0.8733, 0.0000], [0.8733, 0.3733, 0.0000], [0.0000, 0.5000, 0.5000], [0.0638, 0.7983, 0.5000], [0.2017, 0.0638, 0.5000], [0.2983, 0.5638, 0.5000], [0.4362, 0.2983, 0.5000], [0.5000, 0.0000, 0.5000], [0.5638, 0.7017, 0.5000], [0.7017, 0.4362, 0.5000], [0.7983, 0.9362, 0.5000], [0.9362, 0.2017, 0.5000]]}


{"formula": "Ho2ZrGa3Ir4", "functional": "PBE", "state": "relaxed", "dft_energy_ev_per_atom": -6.964, "space_group": "No. 115", "delta_e_f_ev_per_fu": -7.417, "volume_a3_per_atom": 19.1, "lattice_angstrom": [[4.1438, 0.0000, 0.0000], [0.0000, 4.1438, 0.0000], [0.0000, 0.0000, 11.0954]], "species": ["Ho", "Ho", "Zr", "Ga", "Ga", "Ga", "Ir", "Ir", "Ir", "Ir"], "fractional_positions": [[0.0000, 0.5000, 0.2214], [0.5000, 0.0000, 0.7786], [0.0000, 0.0000, 0.5000], [0.0000, 0.5000, 0.8745], [0.5000, 0.0000, 0.1255], [0.5000, 0.5000, 0.5000], [0.0000, 0.0000, 0.0000], [0.0000, 0.5000, 0.6507], [0.5000, 0.0000, 0.3493], [0.5000, 0.5000, 0.0000]]}


{"formula": "HoZrGaIr", "functional": "PBE", "state": "relaxed", "dft_energy_ev_per_atom": -6.838, "space_group": "No. 216", "delta_e_f_ev_per_fu": -2.337, "volume_a3_per_atom": 19.9, "lattice_angstrom": [[0.0000, 3.4132, 3.4132], [3.4132, 0.0000, 3.4132], [3.4132, 3.4132, 0.0000]], "species": ["Ho", "Zr", "Ga", "Ir"], "fractional_positions": [[0.0000, 0.0000, 0.0000], [0.5000, 0.5000, 0.5000], [0.7500, 0.7500, 0.7500], [0.2500, 0.2500, 0.2500]]}


{"formula": "KHoGa4", "functional": "PBE", "state": "relaxed", "dft_energy_ev_per_atom": -3.172, "space_group": "No. 216", "delta_e_f_ev_per_fu": -1.248, "volume_a3_per_atom": 21.3, "lattice_angstrom": [[0.0000, 3.9985, 3.9985], [3.9985, 0.0000, 3.9985], [3.9985, 3.9985, 0.0000]], "species": ["K", "Ho", "Ga", "Ga", "Ga", "Ga"], "fractional_positions": [[0.0000, 0.0000, 0.0000], [0.7500, 0.7500, 0.7500], [0.3755, 0.3755, 0.3755], [0.3755, 0.3755, 0.8735], [0.3755, 0.8735, 0.3755], [0.8735, 0.3755, 0.3755]]}


{"formula": "K3HoGa2O6", "functional": "PBE", "state": "relaxed", "e_form_raw_mev_per_atom": -2004, "dft_energy_ev_per_atom": -5.644, "space_group": "No. 164", "volume_a3_per_atom": 19.2, "lattice_angstrom": [[6.1178, 0.0000, 0.0000], [-3.0589, 5.2982, 0.0000], [0.0000, 0.0000, 7.1206]], "species": ["K", "K", "K", "Ho", "Ga", "Ga", "O", "O", "O", "O", "O", "O"], "fractional_positions": [[0.0000, 0.0000, 0.0000], [0.3333, 0.6667, 0.7489], [0.6667, 0.3333, 0.2511], [0.0000, 0.0000, 0.5000], [0.3333, 0.6667, 0.2969], [0.6667, 0.3333, 0.7031], [0.1652, 0.3304, 0.2965], [0.1652, 0.8348, 0.2965], [0.3304, 0.1652, 0.7035], [0.6696, 0.8348, 0.2965], [0.8348, 0.1652, 0.7035], [0.8348, 0.6696, 0.7035]]}


{"formula": "K3Ho3GaO8", "functional": "PBE", "state": "relaxed", "e_form_raw_mev_per_atom": -2436, "dft_energy_ev_per_atom": -6.418, "space_group": "No. 166", "volume_a3_per_atom": 16.5, "lattice_angstrom": [[3.3757, 1.9490, 6.2732], [-3.3757, 1.9490, 6.2732], [0.0000, -3.8980, 6.2732]], "species": ["K", "K", "K", "Ho", "Ho", "Ho", "Ga", "O", "O", "O", "O", "O", "O", "O", "O"], "fractional_positions": [[0.0000, 0.5000, 0.5000], [0.5000, 0.0000, 0.5000], [0.5000, 0.5000, 0.0000], [0.0000, 0.0000, 0.5000], [0.0000, 0.5000, 0.0000], [0.5000, 0.0000, 0.0000], [0.5000, 0.5000, 0.5000], [0.2274, 0.2274, 0.2274], [0.2493, 0.7113, 0.7113], [0.2887, 0.2887, 0.7507], [0.2887, 0.7507, 0.2887], [0.7113, 0.2493, 0.7113], [0.7113, 0.7113, 0.2493], [0.7507, 0.2887, 0.2887], [0.7726, 0.7726, 0.7726]]}